[1]
! LaNd5Ho3 (PBE-GGA, optimized geometry); values from VASP
&SYSTEM
  ibrav = 0, nat = 18, ntyp = 3
/
ATOMIC_SPECIES
La 138.91 La.upf
Nd 144.24 Nd.upf
Ho 164.93 Ho.upf
ATOMIC_POSITIONS angstrom
La 5.600 -2.175 8.255
La 0.926 -0.725 2.752
Nd 2.592 -2.175 8.255
Nd 2.117 6.708 -3.123
Nd 4.569 3.082 -0.326
Nd 1.146 0.645 8.966
Nd 1.306 5.721 0.667
Nd 3.934 -0.725 2.752
Nd -2.117 5.257 2.381
Nd 5.381 2.095 3.463
Nd 1.957 1.632 5.177
Nd -1.306 4.271 6.170
Ho 0.000 0.000 0.000
Ho 1.955 2.422 1.732
Ho 0.000 -1.450 5.503
Ho 1.308 4.931 4.111
Ho 4.572 0.972 7.236
Ho -1.308 6.381 -1.392
CELL_PARAMETERS angstrom
6.527 0.000 0.000
-3.263 10.253 -5.163
0.000 -2.901 11.006
! energy above the most stable polymorph in this dataset	0	meV per atom
! ΔH_f (0 K)	277	meV per atom

---

[2]
! LaInSi2 (PBE-GGA, optimized geometry); values from VASP
&SYSTEM
  ibrav = 0, nat = 4, ntyp = 3
/
ATOMIC_SPECIES
In 114.82 In.upf
La 138.91 La.upf
Si 28.09 Si.upf
ATOMIC_POSITIONS angstrom
In 1.869 1.869 1.628
La 1.869 1.869 4.885
Si 0.000 0.000 0.387
Si 0.000 0.000 2.869
CELL_PARAMETERS angstrom
3.737 0.000 0.000
0.000 3.737 0.000
0.000 0.000 6.513
! raw formation energy	-0.153	eV per atom

---

[3]
! Ba2SnRuN (PBE-GGA, optimized geometry); values from VASP
&SYSTEM
  ibrav = 0, nat = 5, ntyp = 4
/
ATOMIC_SPECIES
Ru 101.07 Ru.upf
N 14.01 N.upf
Ba 137.33 Ba.upf
Sn 118.71 Sn.upf
ATOMIC_POSITIONS angstrom
Ru -1.534 -1.452 -1.257
N -4.073 -2.088 2.576
Ba 0.025 -2.163 2.468
Ba -2.564 1.527 1.365
Sn 0.000 0.000 0.000
CELL_PARAMETERS angstrom
-5.129 3.055 2.729
-3.067 -2.905 -2.513
0.051 -4.325 4.937
! raw formation energy	1.151	eV per atom
! energy above the most stable polymorph in this dataset	1467	meV per atom

---

[4]
! Ac4HgAsSe2 (PBE-GGA, optimized geometry); values from VASP
&SYSTEM
  ibrav = 0, nat = 8, ntyp = 4
/
ATOMIC_SPECIES
Ac 227.00 Ac.upf
Hg 200.59 Hg.upf
As 74.92 As.upf
Se 78.96 Se.upf
ATOMIC_POSITIONS angstrom
Ac 2.250 1.361 1.915
Ac 2.250 3.884 5.686
Ac 0.000 -0.003 5.631
Ac 0.000 5.247 1.969
Hg 0.000 0.000 0.000
As 2.250 3.996 0.091
Se 2.250 -1.374 3.709
Se 0.000 2.622 3.800
CELL_PARAMETERS angstrom
4.499 0.000 0.000
0.000 7.992 0.183
0.000 -2.748 7.418
! raw formation energy	-1.382	eV per atom

---

[5]
! YHfN3 (PBE-GGA, optimized geometry); values from VASP
&SYSTEM
  ibrav = 0, nat = 5, ntyp = 3
/
ATOMIC_SPECIES
Y 88.91 Y.upf
Hf 178.49 Hf.upf
N 14.01 N.upf
ATOMIC_POSITIONS angstrom
Y 0.000 0.000 0.000
Hf 2.080 2.080 2.080
N 0.000 2.080 0.000
N 0.000 0.000 2.080
N 2.080 0.000 0.000
CELL_PARAMETERS angstrom
4.159 0.000 0.000
0.000 4.159 0.000
0.000 0.000 4.159
! raw formation energy	0.741	eV per atom

---

[6]
! Er2ScF8 (PBE-GGA, optimized geometry); values from VASP
&SYSTEM
  ibrav = 0, nat = 11, ntyp = 3
/
ATOMIC_SPECIES
Er 167.26 Er.upf
Sc 44.96 Sc.upf
F 19.00 F.upf
ATOMIC_POSITIONS angstrom
Er 2.660 2.011 1.672
Er 1.417 4.622 3.841
Sc 0.000 0.000 0.000
F 3.229 0.725 3.402
F 0.847 3.156 5.423
F 3.902 0.668 0.556
F 0.174 5.964 4.957
F 3.229 3.477 0.090
F 0.847 5.908 2.111
F 0.830 2.983 2.479
F 3.246 3.650 3.034
CELL_PARAMETERS angstrom
5.151 -0.577 -0.479
-0.537 5.806 0.348
-0.537 1.404 5.644
! raw formation energy	-3.885	eV per atom

---

[7]
! AsPPb4 (PBE-GGA, optimized geometry); values from VASP
&SYSTEM
  ibrav = 0, nat = 6, ntyp = 3
/
ATOMIC_SPECIES
As 74.92 As.upf
P 30.97 P.upf
Pb 207.20 Pb.upf
ATOMIC_POSITIONS angstrom
As -8.171 3.340 -7.597
P 0.000 0.000 0.000
Pb -6.472 0.679 -5.635
Pb -4.600 3.047 -6.607
Pb -6.632 3.511 -4.218
Pb -4.085 1.670 -3.798
CELL_PARAMETERS angstrom
-4.772 -1.980 -3.673
-5.092 3.681 -0.839
-1.030 2.753 -5.616
! ΔH_f (0 K)	682	meV per atom

---

[8]
! Ba3TbNd2Se6 (PBE-GGA, optimized geometry); values from VASP
&SYSTEM
  ibrav = 0, nat = 12, ntyp = 4
/
ATOMIC_SPECIES
Ba 137.33 Ba.upf
Tb 158.93 Tb.upf
Nd 144.24 Nd.upf
Se 78.96 Se.upf
ATOMIC_POSITIONS angstrom
Ba -2.491 4.351 3.707
Ba 5.014 0.016 3.707
Ba 1.261 2.184 3.707
Tb 0.000 0.000 0.000
Nd 0.012 4.363 0.000
Nd 3.773 2.190 0.000
Se 3.755 2.233 5.795
Se 2.552 4.419 1.637
Se -1.232 2.134 1.620
Se 0.058 4.368 5.795
Se -0.030 -0.051 5.778
Se 2.465 -0.001 1.620
CELL_PARAMETERS angstrom
7.561 0.003 0.000
-3.776 6.551 0.000
-1.262 -2.186 7.415
! raw formation energy	-1.906	eV per atom

---

How do the records compare in total moment? In the order shown, they have 0.01; 0.00; 2.48; 0.00; 0.00; 0.98; 0.00; 0.00 μB per cell.
How do the records compare in energy? In the order shown, they have -80.02; -19.13; -19.70; -39.41; -37.69; -73.17; -20.80; -63.71 eV for the cell shown.